! SrPO2 (GGA-PBE, optimized geometry); values from VASP
&SYSTEM
  ibrav = 0, nat = 4, ntyp = 3
/
ATOMIC_SPECIES
Sr 87.62 Sr.upf
P 30.97 P.upf
O 16.00 O.upf
CELL_PARAMETERS angstrom
1.886 1.089 5.795
-1.886 1.089 5.795
0.000 -2.177 5.795
ATOMIC_POSITIONS angstrom
Sr 0.000 0.000 0.000
P 0.000 0.000 8.693
O 0.000 0.000 7.015
O 0.000 0.000 10.370
! DOS(E_F): 1.3 states/eV/f.u.
! ΔE_f (raw): -162.2 kJ/mol of atoms
! magnetization: 0.00 Bohr magnetons per cell

=====

! SrPO2 (GGA-PBE, optimized geometry); values from VASP
&SYSTEM
  ibrav = 0, nat = 8, ntyp = 3
/
ATOMIC_SPECIES
Sr 87.62 Sr.upf
P 30.97 P.upf
O 16.00 O.upf
CELL_PARAMETERS angstrom
-2.394 2.394 5.982
2.394 -2.394 5.982
2.394 2.394 -5.982
ATOMIC_POSITIONS angstrom
Sr 0.000 0.000 0.000
Sr 0.000 2.394 2.991
P 2.394 0.000 2.991
P 0.000 0.000 5.982
O 1.197 -0.831 4.486
O 1.562 1.197 1.495
O 1.197 3.225 -1.495
O 0.831 1.197 7.477
! DOS(E_F): 1.1 states/eV/f.u.
! ΔE_f (raw): -116.0 kJ/mol of atoms
! magnetization: 0.00 Bohr magnetons per cell

=====

! SrP2O2 (GGA-PBE, optimized geometry); values from VASP
&SYSTEM
  ibrav = 0, nat = 5, ntyp = 3
/
ATOMIC_SPECIES
Sr 87.62 Sr.upf
P 30.97 P.upf
O 16.00 O.upf
CELL_PARAMETERS angstrom
3.756 0.000 0.000
0.000 3.756 0.000
0.000 0.000 6.354
ATOMIC_POSITIONS angstrom
Sr 0.000 0.000 0.000
P 0.000 1.878 3.177
P 1.878 0.000 3.177
O 1.878 1.878 0.000
O 1.878 1.878 3.177
! DOS(E_F): 3.1 states/eV/f.u.
! ΔE_f (raw): -45.8 kJ/mol of atoms
! magnetization: 0.00 Bohr magnetons per cell
! polymorph energy (0 for the lowest one): 362 meV per atom

=====

! SrPO3 (GGA-PBE, optimized geometry); values from VASP
&SYSTEM
  ibrav = 0, nat = 10, ntyp = 3
/
ATOMIC_SPECIES
Sr 87.62 Sr.upf
P 30.97 P.upf
O 16.00 O.upf
CELL_PARAMETERS angstrom
4.000 0.000 0.000
0.000 5.767 0.000
-1.813 0.000 6.603
ATOMIC_POSITIONS angstrom
Sr 0.059 1.442 1.954
Sr 2.127 4.325 4.649
P 0.229 1.442 5.347
P 1.958 4.325 1.256
O 0.601 4.325 0.474
O 0.107 0.176 4.433
O 0.107 2.708 4.433
O 2.079 3.059 2.170
O 2.079 5.591 2.170
O 1.586 1.442 6.129
! DOS(E_F): 0.5 states/eV/f.u.
! ΔE_f (raw): -235.6 kJ/mol of atoms
! magnetization: 0.00 Bohr magnetons per cell

=====

! Sr6P3O2 (GGA-PBE, optimized geometry); values from VASP
&SYSTEM
  ibrav = 0, nat = 11, ntyp = 3
/
ATOMIC_SPECIES
Sr 87.62 Sr.upf
P 30.97 P.upf
O 16.00 O.upf
CELL_PARAMETERS angstrom
-2.444 2.444 12.166
2.444 -2.444 12.166
2.444 2.444 -12.166
ATOMIC_POSITIONS angstrom
Sr 2.444 0.000 2.010
Sr 0.000 0.000 4.861
Sr 2.444 0.000 10.155
Sr 0.000 2.444 2.010
Sr 0.000 0.000 19.471
Sr 0.000 2.444 10.155
P 0.000 0.000 7.967
P 0.000 0.000 12.166
P 0.000 0.000 16.364
O 0.000 0.000 2.467
O 0.000 0.000 21.864
! DOS(E_F): 6.8 states/eV/f.u.
! ΔE_f (raw): -154.2 kJ/mol of atoms
! magnetization: 0.00 Bohr magnetons per cell

=====

! Sr4P2O (GGA-PBE, optimized geometry); values from VASP
&SYSTEM
  ibrav = 0, nat = 14, ntyp = 3
/
ATOMIC_SPECIES
Sr 87.62 Sr.upf
P 30.97 P.upf
O 16.00 O.upf
CELL_PARAMETERS angstrom
7.053 0.000 0.000
0.000 6.979 0.000
-2.765 0.000 8.296
ATOMIC_POSITIONS angstrom
Sr -0.563 0.060 2.069
Sr -0.563 3.430 2.069
Sr 1.489 1.745 4.839
Sr 2.844 1.745 1.168
Sr 1.445 5.235 7.129
Sr 2.799 5.235 3.457
Sr 4.852 3.550 6.228
Sr 4.852 6.919 6.228
P -0.062 5.235 4.550
P 1.645 5.235 0.537
P 2.644 1.745 7.759
P 4.351 1.745 3.747
O 0.937 1.745 2.551
O 3.352 5.235 5.745
! DOS(E_F): 0.2 states/eV/f.u.
! ΔE_f (raw): -140.6 kJ/mol of atoms
! magnetization: 0.00 Bohr magnetons per cell
! polymorph energy (0 for the lowest one): 90 meV per atom

=====

! Sr12P3O5 (GGA-PBE, optimized geometry); values from VASP
&SYSTEM
  ibrav = 0, nat = 80, ntyp = 3
/
ATOMIC_SPECIES
Sr 87.62 Sr.upf
P 30.97 P.upf
O 16.00 O.upf
CELL_PARAMETERS angstrom
-8.206 8.206 8.206
8.206 -8.206 8.206
8.206 8.206 -8.206
ATOMIC_POSITIONS angstrom
Sr 2.506 -0.515 0.859
Sr 9.803 4.962 -4.618
Sr 10.712 0.515 0.859
Sr 9.803 -3.244 4.618
Sr 7.691 -0.859 2.506
Sr 12.824 -1.597 3.244
Sr 0.859 2.506 -0.515
Sr 11.449 3.588 -1.597
Sr 4.962 4.618 -1.597
Sr 7.346 2.506 0.515
Sr -0.515 0.859 2.506
Sr 4.618 -1.597 4.962
Sr 7.691 7.346 -2.506
Sr 4.618 1.597 3.244
Sr 4.962 -4.618 9.803
Sr 7.346 -2.506 7.691
Sr 3.244 4.618 1.597
Sr 9.065 5.700 0.515
Sr 4.618 9.803 -3.244
Sr 7.691 0.859 5.700
Sr 2.506 7.691 -0.859
Sr 9.803 3.244 3.588
Sr 1.597 3.244 4.618
Sr 2.506 0.515 7.346
Sr 5.700 7.691 0.859
Sr 6.609 4.962 3.588
Sr -1.597 4.962 4.618
Sr 5.700 0.515 9.065
Sr 0.515 7.346 2.506
Sr 3.588 -1.597 11.449
Sr -0.859 2.506 7.691
Sr 4.962 3.588 6.609
Sr 0.859 10.712 0.515
Sr 3.244 12.824 -1.597
Sr 3.588 6.609 4.962
Sr 0.515 0.859 10.712
Sr 3.588 9.803 3.244
Sr 8.721 7.346 5.700
Sr 0.859 5.700 7.691
Sr 3.244 3.588 9.803
Sr -3.244 4.618 9.803
Sr 7.346 5.700 8.721
Sr -4.618 9.803 4.962
Sr 0.515 9.065 5.700
Sr -1.597 11.449 3.588
Sr -2.506 7.691 7.346
Sr -1.597 3.244 12.824
Sr 5.700 8.721 7.346
P 4.103 2.051 0.000
P 8.206 4.103 -2.051
P 2.051 0.000 4.103
P 10.257 0.000 4.103
P 0.000 4.103 2.051
P 4.103 -2.051 8.206
P 4.103 10.257 0.000
P 8.206 4.103 6.154
P -2.051 8.206 4.103
P 6.154 8.206 4.103
P 0.000 4.103 10.257
P 4.103 6.154 8.206
O 0.000 0.000 0.000
O 4.103 4.103 -4.103
O 4.103 -4.103 4.103
O 8.206 0.000 0.000
O 12.309 2.051 0.000
O 8.206 -4.103 6.154
O 6.154 8.206 -4.103
O 6.154 0.000 4.103
O 4.103 6.154 0.000
O 8.206 4.103 2.051
O -4.103 4.103 4.103
O 0.000 8.206 0.000
O 0.000 0.000 8.206
O 4.103 4.103 4.103
O 0.000 4.103 6.154
O 4.103 2.051 8.206
O 2.051 8.206 4.103
O 2.051 0.000 12.309
O 0.000 12.309 2.051
O -4.103 6.154 8.206
! DOS(E_F): 9.2 states/eV/f.u.
! ΔE_f (raw): -154.3 kJ/mol of atoms
! magnetization: 13.85 Bohr magnetons per cell

=====

! SrP2O6 (GGA-PBE, optimized geometry); values from VASP
&SYSTEM
  ibrav = 0, nat = 36, ntyp = 3
/
ATOMIC_SPECIES
Sr 87.62 Sr.upf
P 30.97 P.upf
O 16.00 O.upf
CELL_PARAMETERS angstrom
4.568 0.000 0.000
0.000 11.078 0.000
-0.275 0.000 10.519
ATOMIC_POSITIONS angstrom
Sr 0.135 2.134 0.159
Sr -0.003 3.405 5.419
Sr 4.296 7.673 5.100
Sr 4.159 8.944 10.360
P 0.076 5.701 8.228
P 0.213 10.916 2.968
P 1.958 7.189 2.170
P 1.821 9.427 7.430
P 2.473 1.650 3.090
P 2.336 3.889 8.349
P 4.080 0.162 7.551
P 4.218 5.377 2.291
O -0.091 1.371 6.793
O 0.046 4.168 1.533
O -0.006 5.702 6.720
O 0.131 10.915 1.460
O 0.457 6.718 1.770
O 0.319 9.898 7.030
O 1.672 0.293 3.474
O 1.535 5.246 8.733
O 2.058 7.437 3.649
O 1.921 9.179 8.908
O 2.157 2.742 4.074
O 2.020 2.797 9.334
O 2.274 8.281 1.186
O 2.137 8.336 6.445
O 2.372 1.898 1.611
O 2.235 3.640 6.871
O 2.759 5.831 1.786
O 2.621 10.785 7.046
O 3.974 1.180 3.490
O 3.837 4.359 8.749
O 4.162 0.163 9.059
O 4.299 5.376 3.799
O 4.247 6.910 8.986
O 4.384 9.707 3.726
! DOS(E_F): 0.0 states/eV/f.u.
! ΔE_f (raw): -243.6 kJ/mol of atoms
! magnetization: 0.00 Bohr magnetons per cell

=====

Q: Among the records above, which one has the highest DOS(E_F)?
A: Sr12P3O5

=====

Q: Which value of ΔE_f (raw) does entry 6 give?
A: -140.6 kJ/mol of atoms